A plane-wave DFT calculation with PBE was carried out for an optimized crystal structure of Ac2CuSi2.

abc: 6.2197 6.2197 11.0935
angles: 115.24 115.24 41.31
Element x y z (fractional)
Ac (0.1126, 0.1126, 0.4079)
Ac (0.2842, 0.2842, 0.8527)
Ac (0.7158, 0.7158, 0.1473)
Ac (0.8874, 0.8874, 0.5921)
Cu (0.4490, 0.4490, 0.1845)
Cu (0.5510, 0.5510, 0.8155)
Si (0.0330, 0.0330, 0.9115)
Si (0.4015, 0.4015, 0.3857)
Si (0.5985, 0.5985, 0.6143)
Si (0.9670, 0.9670, 0.0885)

space group	No. 12
uncorrected energy	-5.166	eV/atom

***

A plane-wave DFT calculation with PBE was carried out for an optimized crystal structure of AcCuSi2.

abc: 4.4910 4.6470 4.6470
angles: 77.91 90.00 90.00
Element x y z (fractional)
Ac (0.0000, 0.0000, 0.0000)
Cu (0.5000, 0.4153, 0.4153)
Si (0.5000, 0.5152, 0.9047)
Si (0.5000, 0.9047, 0.5152)

space group	No. 38
relative energy among the computed polymorphs	0.00	kcal/mol of atoms
uncorrected energy	-5.030	eV/atom

***

A plane-wave DFT calculation with PBE was carried out for an optimized crystal structure of Ac2Cu5Si3.

abc: 8.4077 8.4077 6.1188
angles: 111.25 111.25 92.41
Element x y z (fractional)
Ac (0.1245, 0.3759, 0.2501)
Ac (0.3759, 0.1245, 0.7501)
Ac (0.6241, 0.8755, 0.2499)
Ac (0.8755, 0.6241, 0.7499)
Cu (0.9996, 0.0004, 0.2500)
Cu (0.0004, 0.9996, 0.7500)
Cu (0.2404, 0.7596, 0.7500)
Cu (0.2416, 0.7584, 0.2500)
Cu (0.2576, 0.4940, 0.8752)
Cu (0.4940, 0.2576, 0.3752)
Cu (0.5060, 0.7424, 0.6248)
Cu (0.7424, 0.5060, 0.1248)
Cu (0.7584, 0.2416, 0.7500)
Cu (0.7596, 0.2404, 0.2500)
Si (0.0029, 0.2523, 0.6282)
Si (0.2523, 0.0029, 0.1282)
Si (0.4997, 0.5003, 0.2500)
Si (0.5003, 0.4997, 0.7500)
Si (0.7477, 0.9971, 0.8718)
Si (0.9971, 0.7477, 0.3718)

space group	No. 15
relative energy among the computed polymorphs	0.00	kcal/mol of atoms
uncorrected energy	-4.883	eV/atom

***

A plane-wave DFT calculation with PBE was carried out for an optimized crystal structure of Ac3Cu2Si.

abc: 13.0137 4.2175 12.7131
angles: 90.00 90.00 90.00
Element x y z (fractional)
Ac (0.0756, 0.2500, 0.1302)
Ac (0.1125, 0.7500, 0.5706)
Ac (0.1939, 0.2500, 0.8183)
Ac (0.3061, 0.7500, 0.3183)
Ac (0.3875, 0.2500, 0.0706)
Ac (0.4244, 0.7500, 0.6302)
Ac (0.5756, 0.2500, 0.3698)
Ac (0.6125, 0.7500, 0.9294)
Ac (0.6939, 0.2500, 0.6817)
Ac (0.8061, 0.7500, 0.1817)
Ac (0.8875, 0.2500, 0.4294)
Ac (0.9244, 0.7500, 0.8698)
Cu (0.0503, 0.7500, 0.3235)
Cu (0.2131, 0.7500, 0.0010)
Cu (0.2869, 0.2500, 0.5010)
Cu (0.4497, 0.2500, 0.8235)
Cu (0.5503, 0.7500, 0.1765)
Cu (0.7131, 0.7500, 0.4990)
Cu (0.7869, 0.2500, 0.9990)
Cu (0.9497, 0.2500, 0.6765)
Si (0.1297, 0.2500, 0.3748)
Si (0.3703, 0.7500, 0.8748)
Si (0.6297, 0.2500, 0.1252)
Si (0.8703, 0.7500, 0.6252)

space group	No. 62
uncorrected energy	-4.564	eV/atom

***

A plane-wave DFT calculation with PBE was carried out for an optimized crystal structure of AcCu3Si.

abc: 5.5903 5.8886 5.8229
angles: 90.00 99.67 90.00
Element x y z (fractional)
Ac (0.0000, 0.0000, 0.0000)
Ac (0.3440, 0.5000, 0.3771)
Cu (0.5028, 0.2337, 0.8591)
Cu (0.5028, 0.7663, 0.8591)
Cu (0.5360, 0.0000, 0.2527)
Cu (0.7830, 0.5000, 0.1591)
Cu (0.8812, 0.2237, 0.4961)
Cu (0.8812, 0.7763, 0.4961)
Si (0.2681, 0.0000, 0.5526)
Si (0.8292, 0.5000, 0.7797)

space group	No. 6
relative energy among the computed polymorphs	2.37	kcal/mol of atoms
uncorrected energy	-4.563	eV/atom

***

A plane-wave DFT calculation with PBE was carried out for an optimized crystal structure of AcCu9Si4.

abc: 8.2383 8.2383 8.2383
angles: 120.34 120.34 89.41
Element x y z (fractional)
Ac (0.2500, 0.2500, 0.0000)
Ac (0.7500, 0.7500, 0.0000)
Cu (0.0000, 0.5000, 0.5000)
Cu (0.0580, 0.5580, 0.2525)
Cu (0.0646, 0.7972, 0.8617)
Cu (0.1945, 0.9420, 0.5000)
Cu (0.2028, 0.0646, 0.2674)
Cu (0.2972, 0.5646, 0.8617)
Cu (0.3055, 0.8055, 0.7475)
Cu (0.4354, 0.2972, 0.7326)
Cu (0.4420, 0.6945, 0.5000)
Cu (0.5000, 0.0000, 0.5000)
Cu (0.5580, 0.3055, 0.5000)
Cu (0.5646, 0.7028, 0.2674)
Cu (0.6945, 0.1945, 0.2525)
Cu (0.7028, 0.4354, 0.1383)
Cu (0.7972, 0.9354, 0.7326)
Cu (0.8055, 0.0580, 0.5000)
Cu (0.9354, 0.2028, 0.1383)
Cu (0.9420, 0.4420, 0.7475)
Si (0.0574, 0.2087, 0.5000)
Si (0.2087, 0.7087, 0.1513)
Si (0.2913, 0.4426, 0.5000)
Si (0.4426, 0.9426, 0.1513)
Si (0.5574, 0.0574, 0.8487)
Si (0.7087, 0.5574, 0.5000)
Si (0.7913, 0.2913, 0.8487)
Si (0.9426, 0.7913, 0.5000)

space group	No. 140
uncorrected energy	-4.742	eV/atom